Entry 1:
# Ac8NdPb6

A geometry-optimized Ac8NdPb6 structure (PBE-GGA, Alexandria).

a b c (Å): 9.959 9.959 9.140
angles (deg): 56.99 56.99 60.00
Atoms (fractional coordinates):
Ac  0.560  0.232  0.312
Ac  0.768  0.103  0.688
Ac  0.103  0.440  0.688
Ac  0.666  0.666  0.003
Ac  0.334  0.334  0.997
Ac  0.897  0.560  0.312
Ac  0.232  0.897  0.312
Ac  0.440  0.768  0.688
Nd  0.000  0.000  0.000
Pb  0.393  0.066  0.800
Pb  0.934  0.260  0.200
Pb  0.260  0.607  0.200
Pb  0.740  0.393  0.800
Pb  0.066  0.740  0.800
Pb  0.607  0.934  0.200

V in Å³/f.u.: 610.3
Crystal system: trigonal
ΔE_f in meV/atom: -381
E_tot in eV per cell: -65.594
Total moment in Bohr magnetons per cell: 0.0



Entry 2:
# Pr2Mg2Tl

A geometry-optimized Pr2Mg2Tl structure (PBE-GGA, Alexandria).

a b c (Å): 5.219 6.343 10.189
angles (deg): 97.86 75.16 65.71
Atoms (fractional coordinates):
Pr  0.700  0.252  0.348
Pr  0.893  0.278  0.936
Pr  0.300  0.748  0.652
Pr  0.107  0.722  0.064
Mg  0.051  0.314  0.583
Mg  0.656  0.828  0.860
Mg  0.949  0.686  0.417
Mg  0.344  0.172  0.140
Tl  0.555  0.190  0.700
Tl  0.445  0.810  0.300

Energy relative to the lowest polymorph listed for this composition in meV/atom: 4
V in Å³/f.u.: 142.9
Crystal system: monoclinic
ΔE_f in meV/atom: -179
E_tot in eV per cell: -32.021
Total moment in Bohr magnetons per cell: 0.0



Entry 3:
# Ho2TmAu3

A geometry-optimized Ho2TmAu3 structure (PBE-GGA, Alexandria).

a b c (Å): 5.051 5.051 6.207
angles (deg): 90.00 90.00 120.00
Atoms (fractional coordinates):
Ho  0.667  0.333  0.332
Ho  0.333  0.667  0.668
Tm  0.000  0.000  0.000
Au  0.000  0.000  0.500
Au  0.667  0.333  0.836
Au  0.333  0.667  0.164

Energy relative to the lowest polymorph listed for this composition in meV/atom: 3
V in Å³/f.u.: 137.1
Crystal system: trigonal
ΔE_f in meV/atom: -880
E_tot in eV per cell: -28.738
Total moment in Bohr magnetons per cell: 0.0